[1]
Here is crystalline Ta4TlSiN2 at its relaxed geometry from OQMD. Energies are from PBE-GGA.

The space group is P-6m2 (187).

a b c (Å): 3.0629 3.0629 14.2297
angles (deg): 90.00 90.00 120.00
With the nearest neighbours (Å) after each atom.
Element x y z (fractional)
Ta 0.3333 0.6667 0.1755  3 N 2.21
Ta 0.3333 0.6667 0.8245  3 N 2.21
Ta 0.6667 0.3333 0.6397  3 N 2.20
Ta 0.6667 0.3333 0.3603  3 N 2.20
Tl 0.6667 0.3333 0.0000  6 Ta 3.06, 6 Tl 3.06
Si 0.3333 0.6667 0.5000  6 Ta 2.66
N 0.0000 0.0000 0.2681  6 Ta 2.20-2.21
N 0.0000 0.0000 0.7319  6 Ta 2.20-2.21

=====

[2]
Here is crystalline YErNO at its relaxed geometry from OQMD. Energies are from PBE-GGA.

The space group is P4/nmm (129).

a b c (Å): 4.2709 4.2709 7.6417
angles (deg): 90.00 90.00 90.00
With the nearest neighbours (Å) after each atom.
Element x y z (fractional)
Er 0.2500 0.2500 0.0960  4 O 2.26
Er 0.7500 0.7500 0.9040  4 O 2.26
Y 0.2500 0.7500 0.5000  4 N 2.34
Y 0.7500 0.2500 0.5000  4 N 2.34
O 0.7500 0.2500 0.0000  4 Er 2.26
O 0.2500 0.7500 0.0000  4 Er 2.26
N 0.7500 0.7500 0.3760  4 Y 2.34
N 0.2500 0.2500 0.6240  4 Y 2.34

=====

[3]
Here is crystalline BeTlTcW at its relaxed geometry from OQMD. Energies are from PBE-GGA.

The space group is F-43m (216).

a b c (Å): 4.4418 4.4418 4.4418
angles (deg): 60.00 60.00 60.00
With the nearest neighbours (Å) after each atom.
Element x y z (fractional)
Tl 0.2500 0.2500 0.2500  4 Tc 2.72, 4 W 2.72
Be 0.7500 0.7500 0.7500  4 W 2.72, 4 Tc 2.72
W 0.0000 0.0000 0.0000  4 Be 2.72, 4 Tl 2.72
Tc 0.5000 0.5000 0.5000  4 Tl 2.72, 4 Be 2.72

=====

In the order shown, the computed E_tot values come out to -75.09; -62.63; -25.63 eV/cell.